Material: As2AuCl
Method: DFT, PBE
State: optimized geometry

Excess energy over the best structure of this formula in the dataset = 0.41 eV/f.u.
N(E_F) = 0.326 states/eV/atom
Formation energy from raw total energies = -8 kJ/mol of formula units
Final energy = -14.502 eV/cell

The structure in CIF format:
```
data_As2AuCl
_space_group_name_H-M_alt 'P 1 2/m 1'
_space_group_IT_number 10
_space_group_name_Hall '-P 2y'
_cell_length_a 3.874
_cell_length_b 4.359
_cell_length_c 5.741
_cell_angle_alpha 90.00
_cell_angle_beta 91.03
_cell_angle_gamma 90.00
loop_
_atom_site_label
_atom_site_fract_x
_atom_site_fract_y
_atom_site_fract_z
_atom_site_occupancy
As1 0.232 0.000 0.157 1
Au1 0.500 0.500 0.000 1
Cl1 0.000 0.500 0.500 1
```

=====

Material: AsAu2Cl
Method: DFT, PBE
State: optimized geometry

Excess energy over the best structure of this formula in the dataset = 0.41 eV/f.u.
N(E_F) = 0.233 states/eV/atom
Formation energy from raw total energies = 26 kJ/mol of formula units
Final energy = -12.781 eV/cell

The structure in CIF format:
```
data_AsAu2Cl
_space_group_name_H-M_alt 'P 1 2/m 1'
_space_group_IT_number 10
_space_group_name_Hall '-P 2y'
_cell_length_a 3.041
_cell_length_b 3.616
_cell_length_c 7.737
_cell_angle_alpha 90.00
_cell_angle_beta 90.32
_cell_angle_gamma 90.00
loop_
_atom_site_label
_atom_site_fract_x
_atom_site_fract_y
_atom_site_fract_z
_atom_site_occupancy
As1 0.000 0.000 0.000 1
Au1 0.002 0.500 0.241 1
Cl1 0.000 0.000 0.500 1
```

=====

> The lowest final energy belongs to which entry?

As2AuCl